No. 1
Computed, not measured: NiSbMo at its PBEsol-relaxed geometry at the meta-GGA SCAN level of DFT.

Lattice parameters (Å, degrees): 3.0410 3.3356 5.0874 109.14 107.39 90.00
Closest atoms and distances in Å follow each position.
Element x y z (fractional)
Mo1 0.0120 0.0120 0.0240  4 Ni 2.65, 5 Sb 2.83-2.84
Sb1 0.3227 0.3227 0.6454  4 Ni 2.67, 5 Mo 2.83-2.84
Ni1 0.6653 0.6653 0.3306  4 Mo 2.65, 4 Sb 2.67

The value obtained for the formation energy from raw total energies is 0.35 eV/atom.

---

No. 2
Computed, not measured: ZrSi2Tc at its PBEsol-relaxed geometry at the meta-GGA SCAN level of DFT.

Lattice parameters (Å, degrees): 3.8000 3.8000 9.5430 101.48 101.48 90.00
Closest atoms and distances in Å follow each position.
Element x y z (fractional)
Tc1 0.2500 0.7500 0.5000  4 Si 2.61, 4 Zr 2.69
Tc2 0.0000 0.0000 0.0000  4 Si 2.61, 4 Zr 2.69
Zr1 0.7500 0.2500 0.5000  4 Tc 2.69, 4 Si 2.71
Zr2 0.5000 0.5000 0.0000  4 Tc 2.69, 4 Si 2.71
Si1 0.3390 0.8750 0.2500  2 Si 2.50, 2 Tc 2.61, 2 Zr 2.71
Si2 0.9110 0.3750 0.2500  2 Si 2.50, 2 Tc 2.61, 2 Zr 2.71
Si3 0.6250 0.6610 0.7500  2 Si 2.50, 2 Tc 2.61, 2 Zr 2.71
Si4 0.1250 0.0890 0.7500  2 Si 2.50, 2 Tc 2.61, 2 Zr 2.71

As for the energy above the most stable polymorph in this dataset: 563 meV per atom. The value obtained for the formation energy from raw total energies is 0.04 eV/atom.

---

No. 3
Computed, not measured: BaCuIr3 at its PBEsol-relaxed geometry at the meta-GGA SCAN level of DFT.

Lattice parameters (Å, degrees): 5.0060 5.0060 5.0060 90.00 90.00 90.00
Closest atoms and distances in Å follow each position.
Element x y z (fractional)
Ba1 0.0000 0.0000 0.0000  6 Ir 2.50
Cu1 0.5000 0.5000 0.5000  12 Ir 3.54
Ir1 0.0000 0.0000 0.5000  2 Ba 2.50
Ir2 0.5000 0.0000 0.0000  2 Ba 2.50
Ir3 0.0000 0.5000 0.0000  2 Ba 2.50

For the energy relative to the elements, the calculation gives 16.5 eV/f.u.

---

No. 4
Computed, not measured: ZnWBr2 at its PBEsol-relaxed geometry at the meta-GGA SCAN level of DFT.

Lattice parameters (Å, degrees): 3.0876 3.0876 8.5652 90.00 90.00 90.00
Closest atoms and distances in Å follow each position.
Element x y z (fractional)
Br1 0.0000 0.0000 0.1865  4 W 2.71
Br2 0.0000 0.0000 0.8135  4 W 2.71
Zn1 0.5000 0.5000 0.5000  4 Zn 3.09
W1 0.5000 0.5000 0.0000  8 Br 2.71

As for the energy above the most stable polymorph in this dataset: 575 meV per atom. The value obtained for the formation energy from raw total energies is 0.86 eV/atom.

---

No. 5
Computed, not measured: Ca2ScBr at its PBEsol-relaxed geometry at the meta-GGA SCAN level of DFT.

Lattice parameters (Å, degrees): 3.5175 3.5175 9.3298 90.00 90.00 90.00
Closest atoms and distances in Å follow each position.
Element x y z (fractional)
Br1 0.5000 0.5000 0.5000  8 Ca 3.31, 4 Br 3.52
Ca1 0.0000 0.0000 0.2667  4 Br 3.31, 4 Ca 3.52, 4 Sc 3.52
Ca2 0.0000 0.0000 0.7333  4 Br 3.31, 4 Ca 3.52, 4 Sc 3.52
Sc1 0.5000 0.5000 0.0000  4 Sc 3.52, 8 Ca 3.52

As for the energy above the most stable polymorph in this dataset: 0 meV per atom. The value obtained for the formation energy from raw total energies is -0.57 eV/atom.

---

No. 6
Computed, not measured: Tl2SiSb at its PBEsol-relaxed geometry at the meta-GGA SCAN level of DFT.

Lattice parameters (Å, degrees): 3.1770 3.9022 8.5396 90.00 100.77 90.00
Closest atoms and distances in Å follow each position.
Element x y z (fractional)
Tl1 0.0454 0.0000 0.9654  4 Si 3.10, 2 Tl 3.18
Tl2 0.6881 0.5000 0.2529  6 Tl 3.18-3.49, 4 Sb 3.44
Sb1 0.3282 0.0000 0.5323  2 Si 2.67
Si1 0.4384 0.5000 0.7495  2 Sb 2.67

As for the energy above the most stable polymorph in this dataset: 0 meV per atom. The value obtained for the formation energy from raw total energies is 0.28 eV/atom.

---

No. 7
Computed, not measured: Ta3SnIr at its PBEsol-relaxed geometry at the meta-GGA SCAN level of DFT.

Lattice parameters (Å, degrees): 4.8181 4.8181 4.8181 90.00 90.00 90.00
Closest atoms and distances in Å follow each position.
Element x y z (fractional)
Ta1 0.0000 0.5000 0.0000  2 Ir 2.41
Ta2 0.5000 0.0000 0.0000  2 Ir 2.41
Ta3 0.0000 0.0000 0.5000  2 Ir 2.41
Sn1 0.5000 0.5000 0.5000  12 Ta 3.41
Ir1 0.0000 0.0000 0.0000  6 Ta 2.41

For the energy relative to the elements, the calculation gives 4.0 eV/f.u.

---

No. 8
Computed, not measured: Y2MgPt at its PBEsol-relaxed geometry at the meta-GGA SCAN level of DFT.

Lattice parameters (Å, degrees): 3.5702 3.5702 7.3239 90.00 90.00 90.00
Closest atoms and distances in Å follow each position.
Element x y z (fractional)
Y1 0.0000 0.0000 0.2810  4 Pt 2.99, 1 Y 3.21, 4 Mg 3.26
Y2 0.0000 0.0000 0.7190  4 Pt 2.99, 1 Y 3.21, 4 Mg 3.26
Mg1 0.5000 0.5000 0.0000  8 Y 3.26, 4 Mg 3.57
Pt1 0.5000 0.5000 0.5000  8 Y 2.99

For the energy relative to the elements, the calculation gives -3.3 eV/f.u.

---

No. 9
Computed, not measured: BaNaAl2Br at its PBEsol-relaxed geometry at the meta-GGA SCAN level of DFT.

Lattice parameters (Å, degrees): 6.0414 6.3376 6.3376 90.00 90.00 90.00
Closest atoms and distances in Å follow each position.
Element x y z (fractional)
Br1 0.5000 0.0000 0.0000  2 Ba 3.02
Al1 0.0000 0.5000 0.0000  2 Ba 3.17
Al2 0.0000 0.0000 0.5000  2 Ba 3.17
Na1 0.5000 0.5000 0.5000  8 Al 4.38, 4 Br 4.48
Ba1 0.0000 0.0000 0.0000  2 Br 3.02, 4 Al 3.17

The value obtained for the formation energy from raw total energies is 0.40 eV/atom.

---

No. 10
Computed, not measured: ScTc2Sb at its PBEsol-relaxed geometry at the meta-GGA SCAN level of DFT.

Lattice parameters (Å, degrees): 3.0384 3.0384 7.6399 90.00 90.00 90.00
Closest atoms and distances in Å follow each position.
Element x y z (fractional)
Tc1 0.5000 0.5000 0.2217  4 Tc 2.61, 4 Sb 2.84
Tc2 0.0000 0.0000 0.0276  4 Tc 2.61, 4 Sc 2.83
Sc1 0.5000 0.5000 0.7869  4 Tc 2.83, 4 Sc 3.04
Sb1 0.0000 0.0000 0.4639  4 Tc 2.84, 4 Sb 3.04

The value obtained for the formation energy from raw total energies is -0.15 eV/atom.

---

No. 11
Computed, not measured: V3Sn at its PBEsol-relaxed geometry at the meta-GGA SCAN level of DFT.

Lattice parameters (Å, degrees): 4.8966 4.8966 4.8966 90.00 90.00 90.00
Closest atoms and distances in Å follow each position.
Element x y z (fractional)
V1 0.0000 0.5000 0.2500  2 V 2.45, 4 Sn 2.74
V2 0.2500 0.0000 0.5000  2 V 2.45, 4 Sn 2.74
V3 0.7500 0.0000 0.5000  2 V 2.45, 4 Sn 2.74
V4 0.0000 0.5000 0.7500  2 V 2.45, 4 Sn 2.74
V5 0.5000 0.7500 0.0000  2 V 2.45, 4 Sn 2.74
V6 0.5000 0.2500 0.0000  2 V 2.45, 4 Sn 2.74
Sn1 0.0000 0.0000 0.0000  12 V 2.74
Sn2 0.5000 0.5000 0.5000  12 V 2.74

For the energy relative to the elements, the calculation gives -0.6 eV/f.u.

---

No. 12
Computed, not measured: CsHfRu3 at its PBEsol-relaxed geometry at the meta-GGA SCAN level of DFT.

Lattice parameters (Å, degrees): 4.7446 4.7446 4.7446 90.00 90.00 90.00
Closest atoms and distances in Å follow each position.
Element x y z (fractional)
Cs1 0.0000 0.0000 0.0000  6 Ru 2.37
Ru1 0.5000 0.0000 0.0000  2 Cs 2.37
Ru2 0.0000 0.0000 0.5000  2 Cs 2.37
Ru3 0.0000 0.5000 0.0000  2 Cs 2.37
Hf1 0.5000 0.5000 0.5000  12 Ru 3.35

For the energy relative to the elements, the calculation gives 13.5 eV/f.u.

---

No. 13
Computed, not measured: BeRe2Mo at its PBEsol-relaxed geometry at the meta-GGA SCAN level of DFT.

Lattice parameters (Å, degrees): 2.6727 4.8591 5.0139 117.27 102.63 95.67
Closest atoms and distances in Å follow each position.
Element x y z (fractional)
Re1 0.0000 0.0000 0.5000  2 Be 2.57, 2 Mo 2.57, 4 Re 2.65-2.67
Re2 0.5000 0.5000 0.5000  2 Mo 2.57, 2 Be 2.57, 4 Re 2.65-2.67
Be1 0.0000 0.5000 0.0000  4 Re 2.57, 2 Mo 2.65, 2 Be 2.67
Mo1 0.5000 0.0000 0.0000  4 Re 2.57, 2 Be 2.65, 2 Mo 2.67

For the energy relative to the elements, the calculation gives 0.5 eV/f.u.

---

No. 14
Computed, not measured: Li4Mn3SbP4O16 at its PBEsol-relaxed geometry at the meta-GGA SCAN level of DFT.

Lattice parameters (Å, degrees): 4.7297 6.1726 10.9803 90.00 94.47 90.00
Closest atoms and distances in Å follow each position.
Element x y z (fractional)
Li1 0.9778 0.2567 0.0127  6 O 2.04-2.26
Li2 0.9778 0.7433 0.0127  6 O 2.04-2.26
Li3 0.5390 0.7583 0.4798  5 O 2.02-2.23
Li4 0.5390 0.2417 0.4798  5 O 2.02-2.23
O1 0.2805 0.8007 0.1668  1 P 1.57
O2 0.7127 0.5000 0.0584  1 P 1.57
O3 0.7249 0.0000 0.1024  1 P 1.53
O4 0.7739 0.0000 0.5608  1 P 1.52
O5 0.8100 0.2993 0.3253  1 P 1.56
O6 0.8500 0.5000 0.5216  1 P 1.56
O7 0.2791 0.5000 0.3912  1 P 1.53
O8 0.2264 0.1927 0.6541  1 P 1.57
O9 0.2282 0.5000 0.9397  1 P 1.54
O10 0.6558 0.7098 0.8656  1 P 1.57
O11 0.6558 0.2902 0.8656  1 P 1.57
O12 0.2310 0.0000 0.4502  1 P 1.55
O13 0.2491 0.0000 0.9678  1 P 1.56
O14 0.2805 0.1993 0.1668  1 P 1.57
O15 0.2264 0.8073 0.6541  1 P 1.57
O16 0.8100 0.7007 0.3253  1 P 1.56
Mn1 0.9879 0.0000 0.2756  6 O 2.12-2.26
Mn2 0.4792 0.5000 0.2112  6 O 2.08-2.29
Mn3 0.4653 0.0000 0.8097  5 O 2.08-2.30
P1 0.4007 0.0000 0.0991  4 O 1.53-1.57
P2 0.9547 0.5000 0.3899  4 O 1.53-1.56
P3 0.0954 0.0000 0.5744  4 O 1.52-1.57
P4 0.5509 0.5000 0.9284  4 O 1.54-1.57
Sb1 0.0383 0.5000 0.7107  3 O 2.19-2.21

The value obtained for the formation energy from raw total energies is -2.33 eV/atom.